InAgSnHg PBE relaxed; formation energy = 0.120 eV per atom; electronic total energy = -2.35 eV per atom; SG = F-43m, No. 216
1.0
0.0000 3.6514 3.6514
3.6514 0.0000 3.6514
3.6514 3.6514 0.0000
In Ag Sn Hg
1 1 1 1
Direct
0.0000 0.0000 0.0000 In
0.2500 0.2500 0.2500 Ag
0.5000 0.5000 0.5000 Sn
0.7500 0.7500 0.7500 Hg

LiCaPd2 PBE relaxed; formation energy = -0.523 eV per atom; electronic total energy = -4.10 eV per atom; SG = P4/mmm, No. 123
1.0
4.2721 0.0000 0.0000
0.0000 4.2721 0.0000
0.0000 0.0000 3.9017
Li Ca Pd
1 1 2
Direct
0.0000 0.0000 0.0000 Li
0.5000 0.5000 0.0000 Ca
0.0000 0.5000 0.5000 Pd
0.5000 0.0000 0.5000 Pd

NaDyTl2Cl6 PBE relaxed; electronic total energy = -3.89 eV per atom; ΔE_f (raw) = -166 kJ/mol of atoms; SG = P2_1/c, No. 14
1.0
7.3719 0.0000 0.0000
0.0000 7.6902 0.0000
-7.2919 0.0000 10.5816
Na Dy Tl Cl
2 2 4 12
Direct
0.0000 0.0000 0.0000 Na
0.0000 0.5000 0.5000 Na
0.5000 0.0000 0.5000 Dy
0.5000 0.5000 0.0000 Dy
0.2297 0.0651 0.7484 Tl
0.2297 0.4349 0.2484 Tl
0.7703 0.5651 0.7516 Tl
0.7703 0.9349 0.2516 Tl
0.1654 0.1927 0.4565 Cl
0.1654 0.3073 0.9565 Cl
0.2640 0.7141 0.4541 Cl
0.2640 0.7859 0.9541 Cl
0.3477 0.0222 0.2577 Cl
0.3477 0.4778 0.7577 Cl
0.6523 0.5222 0.2423 Cl
0.6523 0.9778 0.7423 Cl
0.7360 0.2141 0.0459 Cl
0.7360 0.2859 0.5459 Cl
0.8346 0.6927 0.0435 Cl
0.8346 0.8073 0.5435 Cl

BiSbMoI2 PBE relaxed; offset from the most stable computed form = 0.00 eV per formula unit; electronic total energy = -3.78 eV per atom; ΔE_f (raw) = 59 kJ/mol of atoms; SG = P4/mmm, No. 123
1.0
5.4712 0.0000 0.0000
0.0000 5.4712 0.0000
0.0000 0.0000 5.4809
Bi Sb Mo I
1 1 1 2
Direct
0.0000 0.0000 0.0000 Bi
0.5000 0.5000 0.0000 Sb
0.5000 0.5000 0.5000 Mo
0.0000 0.5000 0.5000 I
0.5000 0.0000 0.5000 I

BeZnAu PBE relaxed; formation energy = -0.061 eV per atom; offset from the most stable computed form = 0.14 eV per formula unit; electronic total energy = -2.82 eV per atom; SG = Pnma, No. 62
1.0
19.7683 0.0000 0.0000
0.0000 3.0443 0.0000
0.0000 0.0000 2.9354
Be Zn Au
4 4 4
Direct
0.2189 0.2500 0.2491 Be
0.2811 0.7500 0.7491 Be
0.7189 0.2500 0.2509 Be
0.7811 0.7500 0.7509 Be
0.0423 0.7500 0.2496 Zn
0.4577 0.2500 0.7496 Zn
0.5423 0.7500 0.2504 Zn
0.9577 0.2500 0.7504 Zn
0.1577 0.7500 0.7489 Au
0.3423 0.2500 0.2489 Au
0.6577 0.7500 0.7511 Au
0.8423 0.2500 0.2511 Au

LuZrCu4 PBE relaxed; formation energy = -0.127 eV per atom; electronic total energy = -5.04 eV per atom; SG = F-43m, No. 216
1.0
0.0000 3.6219 3.6219
3.6219 0.0000 3.6219
3.6219 3.6219 0.0000
Lu Zr Cu
1 1 4
Direct
0.0000 0.0000 0.0000 Lu
0.2500 0.2500 0.2500 Zr
0.1266 0.6245 0.6245 Cu
0.6245 0.1266 0.6245 Cu
0.6245 0.6245 0.1266 Cu
0.6245 0.6245 0.6245 Cu

Cr2CoReH PBE relaxed; electronic total energy = -8.40 eV per atom; SG = P4/mmm, No. 123
1.0
3.7262 0.0000 0.0000
0.0000 3.7262 0.0000
0.0000 0.0000 3.5461
Cr Co Re H
2 1 1 1
Direct
0.0000 0.5000 0.0000 Cr
0.5000 0.0000 0.0000 Cr
0.0000 0.0000 0.5000 Co
0.5000 0.5000 0.5000 Re
0.0000 0.0000 0.0000 H

CrInOs PBE relaxed; formation energy = 0.422 eV per atom; offset from the most stable computed form = 0.52 eV per formula unit; electronic total energy = -7.44 eV per atom; SG = P3m1, No. 156
1.0
2.8489 0.0000 0.0000
-1.4245 2.4672 0.0000
0.0000 0.0000 6.6997
Cr In Os
1 1 1
Direct
0.0000 0.0000 0.0000 Cr
0.6667 0.3333 0.3485 In
0.3333 0.6667 0.7177 Os

RbBPb PBE relaxed; formation energy = 0.905 eV per atom; electronic total energy = -2.88 eV per atom; SG = P4_122, No. 91
1.0
5.5122 0.0000 0.0000
0.0000 5.5122 0.0000
0.0000 0.0000 14.3585
Rb B Pb
4 4 4
Direct
0.0000 0.1844 0.0000 Rb
0.0000 0.8156 0.5000 Rb
0.1844 0.0000 0.7500 Rb
0.8156 0.0000 0.2500 Rb
0.2757 0.2757 0.3750 B
0.2757 0.7243 0.1250 B
0.7243 0.2757 0.6250 B
0.7243 0.7243 0.8750 B
0.3479 0.5000 0.2500 Pb
0.5000 0.3479 0.5000 Pb
0.5000 0.6521 0.0000 Pb
0.6521 0.5000 0.7500 Pb

Mo3RhS PBE relaxed; offset from the most stable computed form = 6.35 eV per formula unit; electronic total energy = -6.94 eV per atom; ΔE_f (raw) = 179 kJ/mol of atoms; SG = Pm-3m, No. 221
1.0
4.7169 0.0000 0.0000
0.0000 4.7169 0.0000
0.0000 0.0000 4.7169
Mo Rh S
3 1 1
Direct
0.0000 0.0000 0.5000 Mo
0.0000 0.5000 0.0000 Mo
0.5000 0.0000 0.0000 Mo
0.0000 0.0000 0.0000 Rh
0.5000 0.5000 0.5000 S

RbSn2Sb PBE relaxed; electronic total energy = -3.43 eV per atom; ΔE_f (raw) = -15 kJ/mol of atoms; SG = Pm, No. 6
1.0
4.8851 0.0000 0.0000
0.0000 4.3607 0.0000
-0.1797 0.0000 7.0367
Rb Sn Sb
1 2 1
Direct
0.0000 0.0000 0.0000 Rb
0.4915 0.5000 0.7308 Sn
0.5195 0.0000 0.4252 Sn
0.9813 0.5000 0.4725 Sb

H6IrPtAu2 PBE relaxed; electronic total energy = -3.90 eV per atom; SG = P-1, No. 2
1.0
4.1376 0.0000 0.0000
-2.0671 4.7900 0.0000
-2.0671 -1.1054 4.7048
H Ir Pt Au
6 1 1 2
Direct
0.0005 0.2397 0.2599 H
0.9995 0.7603 0.7401 H
0.0112 0.2505 0.7493 H
0.4896 0.2483 0.7489 H
0.5104 0.7517 0.2511 H
0.9888 0.7495 0.2507 H
0.0000 0.0000 0.5000 Ir
0.0000 0.5000 0.0000 Pt
0.4992 0.7519 0.7464 Au
0.5008 0.2481 0.2536 Au

Ga12Hg5Ge3 PBE relaxed; formation energy = 0.152 eV per atom; electronic total energy = -2.43 eV per atom; SG = Ia-3d, No. 230
1.0
-7.9190 7.9190 7.9190
7.9190 -7.9190 7.9190
7.9190 7.9190 -7.9190
Ga Hg Ge
48 20 12
Direct
0.0705 0.2354 0.1419 Ga
0.0705 0.3352 0.9286 Ga
0.0714 0.6419 0.4065 Ga
0.0714 0.9295 0.6648 Ga
0.0935 0.7354 0.6648 Ga
0.0935 0.8581 0.4286 Ga
0.1419 0.0705 0.2354 Ga
0.1419 0.5714 0.9065 Ga
0.1648 0.2354 0.5935 Ga
0.1648 0.4295 0.5714 Ga
0.2354 0.1419 0.0705 Ga
0.2354 0.5935 0.1648 Ga
0.2646 0.3352 0.9065 Ga
0.2646 0.4295 0.3581 Ga
0.3352 0.9065 0.2646 Ga
0.3352 0.9286 0.0705 Ga
0.3581 0.2646 0.4295 Ga
0.3581 0.5935 0.9286 Ga
0.4065 0.0714 0.6419 Ga
0.4065 0.8352 0.7646 Ga
0.4286 0.0935 0.8581 Ga
0.4295 0.3581 0.2646 Ga
0.4295 0.5714 0.1648 Ga
0.4286 0.8352 0.5705 Ga
0.5714 0.1648 0.4295 Ga
0.5705 0.4286 0.8352 Ga
0.5705 0.6419 0.7354 Ga
0.5714 0.9065 0.1419 Ga
0.5935 0.1648 0.2354 Ga
0.5935 0.9286 0.3581 Ga
0.6419 0.4065 0.0714 Ga
0.6419 0.7354 0.5705 Ga
0.6648 0.0714 0.9295 Ga
0.6648 0.0935 0.7354 Ga
0.7354 0.5705 0.6419 Ga
0.7354 0.6648 0.0935 Ga
0.7646 0.4065 0.8352 Ga
0.7646 0.8581 0.9295 Ga
0.8352 0.5705 0.4286 Ga
0.8352 0.7646 0.4065 Ga
0.8581 0.4286 0.0935 Ga
0.8581 0.9295 0.7646 Ga
0.9065 0.1419 0.5714 Ga
0.9065 0.2646 0.3352 Ga
0.9286 0.0705 0.3352 Ga
0.9286 0.3581 0.5935 Ga
0.9295 0.6648 0.0714 Ga
0.9295 0.7646 0.8581 Ga
0.0000 0.0000 0.0000 Hg
0.0000 0.0000 0.5000 Hg
0.0000 0.5000 0.0000 Hg
0.0000 0.5000 0.5000 Hg
0.1250 0.7500 0.8750 Hg
0.1250 0.8750 0.2500 Hg
0.2500 0.1250 0.8750 Hg
0.2500 0.6250 0.3750 Hg
0.3750 0.2500 0.6250 Hg
0.3750 0.6250 0.7500 Hg
0.5000 0.0000 0.0000 Hg
0.5000 0.0000 0.5000 Hg
0.5000 0.5000 0.0000 Hg
0.5000 0.5000 0.5000 Hg
0.6250 0.3750 0.2500 Hg
0.6250 0.7500 0.3750 Hg
0.7500 0.3750 0.6250 Hg
0.7500 0.8750 0.1250 Hg
0.8750 0.1250 0.7500 Hg
0.8750 0.2500 0.1250 Hg
0.1250 0.2500 0.3750 Ge
0.1250 0.3750 0.7500 Ge
0.2500 0.3750 0.1250 Ge
0.2500 0.8750 0.6250 Ge
0.3750 0.1250 0.2500 Ge
0.3750 0.7500 0.1250 Ge
0.6250 0.2500 0.8750 Ge
0.6250 0.8750 0.7500 Ge
0.7500 0.1250 0.3750 Ge
0.7500 0.6250 0.8750 Ge
0.8750 0.6250 0.2500 Ge
0.8750 0.7500 0.6250 Ge

Mg2Sb2W PBE relaxed; offset from the most stable computed form = 0.00 eV per formula unit; electronic total energy = -4.61 eV per atom; ΔE_f (raw) = 25 kJ/mol of atoms; SG = P4/mbm, No. 127
1.0
7.1383 0.0000 0.0000
0.0000 7.1383 0.0000
0.0000 0.0000 4.2901
Mg Sb W
4 4 2
Direct
0.1668 0.3332 0.0000 Mg
0.3332 0.8332 0.0000 Mg
0.6668 0.1668 0.0000 Mg
0.8332 0.6668 0.0000 Mg
0.1470 0.6470 0.5000 Sb
0.3530 0.1470 0.5000 Sb
0.6470 0.8530 0.5000 Sb
0.8530 0.3530 0.5000 Sb
0.0000 0.0000 0.5000 W
0.5000 0.5000 0.5000 W

Mg5AgSe6 PBE relaxed; electronic total energy = -3.64 eV per atom; ΔE_f (raw) = -96 kJ/mol of atoms; SG = C2/m, No. 12
1.0
3.3960 -5.8645 0.0000
3.3960 5.8645 0.0000
-2.3634 0.0000 6.3675
Mg Ag Se
5 1 6
Direct
0.0000 0.0000 0.0000 Mg
0.1664 0.8336 0.5000 Mg
0.3387 0.6613 0.0000 Mg
0.6613 0.3387 0.0000 Mg
0.8336 0.1664 0.5000 Mg
0.5000 0.5000 0.5000 Ag
0.0811 0.4194 0.2479 Se
0.2393 0.2393 0.7558 Se
0.4194 0.0811 0.2479 Se
0.5806 0.9189 0.7521 Se
0.7607 0.7607 0.2442 Se
0.9189 0.5806 0.7521 Se

Pm3Ge4Ir4 PBE relaxed; formation energy = -0.723 eV per atom; offset from the most stable computed form = 1.01 eV per formula unit; electronic total energy = -6.92 eV per atom; SG = Immm, No. 71
1.0
-2.1318 2.1726 12.2416
2.1318 -2.1726 12.2416
2.1318 2.1726 -12.2416
Pm Ge Ir
3 4 4
Direct
0.0000 0.0000 0.0000 Pm
0.3543 0.8543 0.5000 Pm
0.6457 0.1457 0.5000 Pm
0.0989 0.5989 0.5000 Ge
0.2502 0.2502 0.0000 Ge
0.7498 0.7498 0.0000 Ge
0.9011 0.4011 0.5000 Ge
0.1982 0.6982 0.5000 Ir
0.4471 0.4471 0.0000 Ir
0.5529 0.5529 0.0000 Ir
0.8018 0.3018 0.5000 Ir

BaSr2SnCl8 PBE relaxed; electronic total energy = -4.10 eV per atom; ΔE_f (raw) = -202 kJ/mol of atoms; SG = P2/m, No. 10
1.0
6.7832 0.0000 0.0000
0.0000 9.1061 0.0000
-0.0062 0.0000 6.8500
Ba Sr Sn Cl
1 2 1 8
Direct
0.0000 0.0000 0.0000 Ba
0.5000 0.2565 0.5000 Sr
0.5000 0.7435 0.5000 Sr
0.0000 0.5000 0.0000 Sn
0.2202 0.2654 0.1756 Cl
0.2202 0.7346 0.1756 Cl
0.2816 0.5000 0.6790 Cl
0.2921 0.0000 0.6580 Cl
0.7079 0.0000 0.3420 Cl
0.7184 0.5000 0.3210 Cl
0.7798 0.2654 0.8244 Cl
0.7798 0.7346 0.8244 Cl

SmTi3O6 PBE relaxed; electronic total energy = -8.77 eV per atom; ΔE_f (raw) = -285 kJ/mol of atoms; SG = P2_1/m, No. 11
1.0
8.5466 0.0000 0.0000
0.0000 3.0760 0.0000
-3.0379 0.0000 8.2401
Sm Ti O
2 6 12
Direct
0.0691 0.2500 0.2062 Sm
0.9309 0.7500 0.7938 Sm
0.1756 0.2500 0.5987 Ti
0.3246 0.7500 0.9915 Ti
0.4646 0.2500 0.3456 Ti
0.5354 0.7500 0.6544 Ti
0.6754 0.2500 0.0085 Ti
0.8244 0.7500 0.4013 Ti
0.0759 0.7500 0.4223 O
0.1366 0.2500 0.9655 O
0.1964 0.7500 0.7490 O
0.2985 0.7500 0.2348 O
0.3723 0.2500 0.5329 O
0.4799 0.2500 0.1121 O
0.5201 0.7500 0.8879 O
0.6277 0.7500 0.4671 O
0.7015 0.2500 0.7652 O
0.8036 0.2500 0.2510 O
0.8634 0.7500 0.0345 O
0.9241 0.2500 0.5777 O

LaMoBr2 PBE relaxed; offset from the most stable computed form = 2.23 eV per formula unit; electronic total energy = -4.66 eV per atom; ΔE_f (raw) = 11 kJ/mol of atoms; SG = Cmmm, No. 65
1.0
1.6850 -3.1097 0.0000
1.6850 3.1097 0.0000
0.0000 0.0000 9.3988
La Mo Br
1 1 2
Direct
0.0000 0.0000 0.0000 La
0.0000 0.0000 0.5000 Mo
0.5000 0.5000 0.2817 Br
0.5000 0.5000 0.7183 Br

Ac6TbPr2 PBE relaxed; formation energy = 0.032 eV per atom; offset from the most stable computed form = 0.00 eV per formula unit; electronic total energy = -4.28 eV per atom; SG = P4_2/mnm, No. 136
1.0
11.6053 0.0000 0.0000
0.0000 11.6053 0.0000
0.0000 0.0000 5.5448
Ac Tb Pr
12 2 4
Direct
0.0017 0.3279 0.0000 Ac
0.1590 0.8410 0.5000 Ac
0.1721 0.5017 0.5000 Ac
0.3279 0.0017 0.0000 Ac
0.3410 0.3410 0.0000 Ac
0.4983 0.8279 0.5000 Ac
0.5017 0.1721 0.5000 Ac
0.6590 0.6590 0.0000 Ac
0.6721 0.9983 0.0000 Ac
0.8279 0.4983 0.5000 Ac
0.8410 0.1590 0.5000 Ac
0.9983 0.6721 0.0000 Ac
0.0000 0.0000 0.0000 Tb
0.5000 0.5000 0.5000 Tb
0.1677 0.1677 0.5000 Pr
0.3323 0.6677 0.0000 Pr
0.6677 0.3323 0.0000 Pr
0.8323 0.8323 0.5000 Pr